Entry from Alexandria via LeMat-Bulk: K3Th2InTe6 after structural relaxation (PBE).

* uncorrected formation energy: -1.092 eV per atom
* calculated total energy: -52.8 eV per formula unit
* size of the total moment: 0.00 μB/cell
* calculated density: 5.13 g/cm³

abc: 4.660 9.961 10.773
angles: 103.91 102.49 90.00
Fractional coordinates of all 12 atoms:
Te  0.982  0.747  0.964
Te  0.018  0.253  0.036
Te  0.676  0.561  0.353
Te  0.324  0.439  0.647
Te  0.330  0.876  0.660
Te  0.670  0.124  0.340
K  0.156  0.839  0.311
K  0.844  0.161  0.689
K  0.500  0.500  0.000
Th  0.836  0.667  0.672
Th  0.164  0.333  0.328
In  0.500  0.000  0.000